{"formula": "PmAlWO6", "functional": "GGA+U", "state": "relaxed", "cell": [[5.1080, 0.0000, 0.0000], [-2.5540, 4.4237, 0.0000], [0.0000, 0.0000, 10.1427]], "species": ["Pm", "Pm", "Al", "Al", "W", "W", "O", "O", "O", "O", "O", "O", "O", "O", "O", "O", "O", "O"], "fractional_positions": [[0.0000, 0.0000, 0.0000], [0.0000, 0.0000, 0.5000], [0.6667, 0.3333, 0.2500], [0.3333, 0.6667, 0.7500], [0.3333, 0.6667, 0.2500], [0.6667, 0.3333, 0.7500], [0.6314, 0.6276, 0.1443], [0.9961, 0.3686, 0.1443], [0.3686, 0.9961, 0.6443], [0.0039, 0.6314, 0.8557], [0.3724, 0.3686, 0.3557], [0.9961, 0.6276, 0.3557], [0.6276, 0.9961, 0.8557], [0.6314, 0.0039, 0.3557], [0.0039, 0.3724, 0.6443], [0.3724, 0.0039, 0.1443], [0.6276, 0.6314, 0.6443], [0.3686, 0.3724, 0.8557]], "volume_a3_per_cell": 229.2, "e_tot_ev_per_atom": -7.797, "crystal_system": "trigonal"}